Model a:
Material: HfNiSe3
Method: DFT, GGA-PBE
State: optimized geometry

Computed properties:
* space group: Pm-3m (221)
* DOS(E_F): 2.99 states/eV/cell

Cell lengths 4.6426, 4.6426, 4.6426 Å; angles 90.00, 90.00, 90.00 degrees
Fractional coordinates of all 5 atoms:
Ni 0.0000 0.0000 0.0000
Hf 0.5000 0.5000 0.5000
Se 0.0000 0.5000 0.0000
Se 0.0000 0.0000 0.5000
Se 0.5000 0.0000 0.0000

***

Model b:
Material: HfNiSe3
Method: DFT, GGA-PBE
State: optimized geometry

Computed properties:
* space group: Pm-3m (221)
* DOS(E_F): 11.37 states/eV/cell

Cell lengths 5.1471, 5.1471, 5.1471 Å; angles 90.00, 90.00, 90.00 degrees
Fractional coordinates of all 5 atoms:
Ni 0.5000 0.5000 0.5000
Hf 0.0000 0.0000 0.0000
Se 0.0000 0.5000 0.0000
Se 0.0000 0.0000 0.5000
Se 0.5000 0.0000 0.0000

***

Model c:
Material: HfNiSe3
Method: DFT, GGA-PBE
State: optimized geometry

Computed properties:
* space group: Ama2 (40)
* DOS(E_F): 9.20 states/eV/cell

Cell lengths 3.6597, 6.1439, 11.4805 Å; angles 105.52, 90.00, 90.00 degrees
Fractional coordinates of all 10 atoms:
Hf 0.2500 0.1009 0.6674
Hf 0.7500 0.4336 0.3326
Ni 0.2500 0.7409 0.2516
Ni 0.7500 0.4893 0.7484
Se 0.7500 0.8697 0.7469
Se 0.7500 0.5713 0.1365
Se 0.7500 0.2700 0.5449
Se 0.2500 0.4348 0.8635
Se 0.2500 0.1227 0.2531
Se 0.2500 0.7251 0.4551

***

Stability, highest: model c

***

Model a:
Material: HfNi2Sn2
Method: DFT, GGA-PBE
State: optimized geometry

Computed properties:
* space group: P4/mbm (127)
* DOS(E_F): 6.20 states/eV/cell

Cell lengths 7.2192, 7.2192, 3.3173 Å; angles 90.00, 90.00, 90.00 degrees
Fractional coordinates of all 10 atoms:
Ni 0.3776 0.8776 0.0000
Ni 0.8776 0.6224 0.0000
Ni 0.6224 0.1224 0.0000
Ni 0.1224 0.3776 0.0000
Hf 0.0000 0.0000 0.0000
Hf 0.5000 0.5000 0.0000
Sn 0.1726 0.6726 0.5000
Sn 0.6726 0.8274 0.5000
Sn 0.8274 0.3274 0.5000
Sn 0.3274 0.1726 0.5000

***

Model b:
Material: HfNi2Sn2
Method: DFT, GGA-PBE
State: optimized geometry

Computed properties:
* space group: Pmmn (59)
* DOS(E_F): 5.52 states/eV/cell

Cell lengths 4.4551, 4.3429, 9.4908 Å; angles 89.98, 90.00, 90.00 degrees
Fractional coordinates of all 10 atoms:
Hf 0.7500 0.2500 0.6680
Hf 0.2500 0.7500 0.3320
Ni 0.2500 0.2497 0.4845
Ni 0.7500 0.7503 0.1682
Ni 0.2500 0.2497 0.8318
Ni 0.7500 0.7503 0.5155
Sn 0.7500 0.2501 0.9891
Sn 0.2500 0.7498 0.6695
Sn 0.2500 0.7499 0.0109
Sn 0.7500 0.2502 0.3305

***

Model c:
Material: HfNi2Sn2
Method: DFT, GGA-PBE
State: optimized geometry

Computed properties:
* space group: P4/mbm (127)
* DOS(E_F): 6.69 states/eV/cell

Cell lengths 7.6699, 7.6699, 2.9826 Å; angles 90.00, 90.00, 90.00 degrees
Fractional coordinates of all 10 atoms:
Ni 0.1517 0.6517 0.5000
Ni 0.6517 0.8483 0.5000
Ni 0.8483 0.3483 0.5000
Ni 0.3483 0.1517 0.5000
Hf 0.0000 0.0000 0.0000
Hf 0.5000 0.5000 0.0000
Sn 0.3551 0.8551 0.0000
Sn 0.8551 0.6449 0.0000
Sn 0.6449 0.1449 0.0000
Sn 0.1449 0.3551 0.0000

***

Stability, highest: model b

***

Model a:
Material: HfNi9Sn2
Method: DFT, GGA-PBE
State: optimized geometry

Computed properties:
* space group: R-3m (166)
* DOS(E_F): 11.46 states/eV/cell

Cell lengths 4.8292, 4.8292, 8.4365 Å; angles 73.37, 73.37, 60.00 degrees
Fractional coordinates of all 12 atoms:
Hf 0.0000 0.0000 0.0000
Ni 0.6663 0.6663 0.0012
Ni 0.3337 0.3337 0.9988
Ni 0.5000 0.5000 0.5000
Ni 0.4160 0.4160 0.2482
Ni 0.9199 0.4160 0.2482
Ni 0.4160 0.9199 0.2482
Ni 0.5840 0.5840 0.7518
Ni 0.5840 0.0801 0.7518
Ni 0.0801 0.5840 0.7518
Sn 0.8643 0.8643 0.4071
Sn 0.1357 0.1357 0.5929

***

Model b:
Material: HfNi9Sn2
Method: DFT, GGA-PBE
State: optimized geometry

Computed properties:
* space group: P4/mmm (123)
* DOS(E_F): 4.48 states/eV/cell

Cell lengths 3.7374, 3.7374, 11.1438 Å; angles 90.00, 90.00, 90.00 degrees
Fractional coordinates of all 12 atoms:
Hf 0.0000 0.0000 0.0000
Ni 0.5000 0.5000 0.0000
Ni 0.5000 0.5000 0.3343
Ni 0.5000 0.5000 0.6657
Ni 0.5000 0.0000 0.1658
Ni 0.5000 0.0000 0.5000
Ni 0.5000 0.0000 0.8342
Ni 0.0000 0.5000 0.1658
Ni 0.0000 0.5000 0.5000
Ni 0.0000 0.5000 0.8342
Sn 0.0000 0.0000 0.3329
Sn 0.0000 0.0000 0.6671

***

Stability, highest: model b